First-principles (GGA-PBE) data for a relaxed TcAg2Sb crystal, as listed in Alexandria via LeMat-Bulk.

```
TcAg2Sb
1.0
5.880 0.021 0.007
3.300 4.866 -0.007
-4.141 -3.287 2.573
Ag Sb Tc
2 1 1
direct
0.508 0.508 0.000
0.992 0.992 0.000
0.250 0.750 0.500
0.750 0.250 0.500
```

Summary:
ΔE_f (raw)   0.336 eV/atom
VASP energy   -4.711 eV/atom
Crystal system   orthorhombic
Size of the total moment   0.6 μB per cell
SG   Immm
DOS(E_F)   0.714 states/eV per atom